Crystalline AsWIO2 at its relaxed geometry. Source: Alexandria via LeMat-Bulk, functional GGA+U. Values from VASP.

As for the symmetry: P4/mmm. For the total magnetization, the calculation gives 1.8 μB per cell. The density of states at the Fermi level comes out at 2.572 states/eV/cell. Its energy relative to the lowest polymorph listed for this composition is 0.0 meV per atom.

Structure (Quantum ESPRESSO input):
```
&SYSTEM
  ibrav = 0, nat = 5, ntyp = 4
/
ATOMIC_SPECIES
As 74.92 As.upf
W 183.84 W.upf
I 126.90 I.upf
O 16.00 O.upf
CELL_PARAMETERS angstrom
3.933 0.000 0.000
0.000 3.933 0.000
0.000 0.000 7.832
ATOMIC_POSITIONS angstrom
As 0.000 0.000 0.000
W 1.967 1.967 3.916
I 1.967 1.967 0.000
O 0.000 1.967 3.916
O 1.967 0.000 3.916
```